14
Lattice="2.994 0.000 0.000 -1.497 5.103 0.000 0.000 0.000 10.248" Properties=species:S:1:pos:R:3 comment="RbH4Pd2 | Alexandria | PBE | relaxed" crystal_system=orthorhombic total_energy_ev_per_cell=-49.9 density_kg_m3=6413 pbc="T T T"
H 1.497 2.420 4.365
Pd 1.497 3.729 9.604
Rb 0.000 4.036 2.562
H 0.000 2.684 9.489
H 1.497 0.000 5.124
H 1.497 3.901 7.686
H 1.497 2.420 0.759
Pd 0.000 1.374 4.480
Rb 1.497 1.067 7.686
H 0.000 1.203 2.562
H 0.000 2.684 5.883
Pd 1.497 3.729 5.768
Pd 0.000 1.374 0.644
H 1.497 0.000 0.000

10
Lattice="-0.209 -2.588 -2.243 2.276 1.573 -2.028 13.751 -8.664 8.713" Properties=species:S:1:pos:R:3 comment="Tb5Ru4Pb | Alexandria | PBE | relaxed" formation_enthalpy_0k_mev_per_atom=-360.9 crystal_system=tetragonal density_kg_m3=10757 pbc="T T T"
Tb 5.388 -3.251 0.624
Ru 8.144 -5.131 5.160
Tb 7.909 -4.839 2.221
Ru 3.034 -1.911 1.922
Tb 2.860 -1.658 -0.978
Ru 10.717 -6.753 6.791
Tb 12.958 -8.020 5.420
Ru 5.607 -3.533 3.553
Tb 10.429 -6.427 3.818
Pb 0.000 0.000 0.000

5
Lattice="-1.100 3.958 2.838 -4.033 -2.371 1.743 2.730 -1.908 3.720" Properties=species:S:1:pos:R:3 comment="Cd3GaPd | Alexandria | PBE | relaxed" formation_enthalpy_0k_mev_per_atom=473.8 de_polymorph_mev_per_atom=587 crystal_system=cubic density_kg_m3=6849 pbc="T T T"
Cd 1.365 -0.954 1.860
Cd -0.550 1.979 1.419
Pd -1.202 -0.161 4.150
Ga 0.000 0.000 0.000
Cd -2.017 -1.185 0.872

20
Lattice="9.263 -0.245 -2.852 -3.794 8.454 -2.852 -0.163 -0.245 9.691" Properties=species:S:1:pos:R:3 comment="Y7SeI12 | Alexandria | PBE | relaxed" crystal_system=trigonal e_form_raw_mev_per_atom=-1313.9 density_kg_m3=5014 pbc="T T T"
Y 2.848 7.145 4.813
I -1.925 5.736 0.005
Y -0.847 2.582 0.045
I 1.801 3.843 -0.970
I -0.192 6.244 5.838
I 5.444 4.820 0.978
Y 2.457 0.818 -0.826
Y 6.152 5.381 3.942
I -0.138 3.143 3.010
Y 4.508 7.750 1.398
I 3.504 4.120 4.957
I 3.712 1.083 2.000
I 3.623 7.531 -1.808
Y 2.653 3.982 1.994
I 1.683 0.432 5.796
I 5.498 1.719 -1.851
I 1.593 6.880 1.987
I 7.231 2.227 3.983
Se 0.000 0.000 0.000
Y 0.797 0.213 2.590

20
Lattice="9.073 -2.134 -2.215 0.764 8.422 -2.001 0.764 -2.312 8.343" Properties=species:S:1:pos:R:3 comment="TbPm2HoTm6 | Alexandria | PBE | relaxed" formation_enthalpy_0k_mev_per_atom=118.8 crystal_system=monoclinic density_kg_m3=8572 pbc="T T T"
Pm 5.297 4.192 3.233
Pm 9.833 2.008 3.201
Tm 6.536 1.218 3.543
Tm 1.999 4.563 2.456
Pm 0.768 1.968 0.925
Tm 8.457 -0.416 5.499
Tm 1.186 -0.787 5.830
Tm 4.066 2.758 0.583
Pm 5.304 -0.216 0.894
Ho 3.032 1.522 3.580
Tm 3.921 6.578 0.896
Tm 2.144 4.392 -1.373
Ho 7.569 2.454 0.546
Tm 6.680 -2.602 3.231
Tm 9.415 4.764 -1.704
Tm 8.602 -0.586 1.670
Tb 3.032 7.684 -2.357
Tm 4.879 -0.812 5.805
Tb 7.569 -3.708 6.484
Tm 5.723 4.788 -1.678

5
Lattice="-3.536 -2.163 -1.019 2.209 -2.258 -2.871 0.916 -2.906 2.990" Properties=species:S:1:pos:R:3 comment="BeGa3Os | Alexandria | PBE | relaxed" formation_enthalpy_0k_mev_per_atom=923.2 de_polymorph_mev_per_atom=362 crystal_system=cubic density_kg_m3=8718 pbc="T T T"
Os -0.206 -3.664 -0.450
Ga -1.768 -1.082 -0.510
Be 0.000 0.000 0.000
Ga 1.105 -1.129 -1.436
Ga 0.458 -1.453 1.495

5
Lattice="4.768 0.000 0.000 0.000 4.909 0.000 0.000 0.000 4.768" Properties=species:S:1:pos:R:3 comment="GaSi2GeMo | Alexandria | PBE | relaxed" crystal_system=tetragonal e_form_raw_mev_per_atom=440.7 density_kg_m3=4381 pbc="T T T"
Ga 2.384 2.455 2.384
Si 0.000 0.000 2.384
Si 2.384 0.000 0.000
Ge 0.000 2.455 0.000
Mo 0.000 0.000 0.000

5
Lattice="4.314 0.000 0.000 0.000 4.314 0.000 -2.157 -2.157 5.643" Properties=species:S:1:pos:R:3 comment="LaCdCuGe2 | Alexandria | PBE | relaxed" formation_enthalpy_0k_mev_per_atom=-409.1 de_polymorph_mev_per_atom=0 crystal_system=tetragonal density_kg_m3=7275 pbc="T T T"
La 0.000 0.000 0.000
Cd 2.157 0.000 2.822
Ge 0.000 0.000 4.376
Cu 0.000 2.157 2.822
Ge 2.157 2.157 1.267

16
Lattice="4.350 0.000 0.000 0.000 8.173 0.000 0.000 0.000 7.576" Properties=species:S:1:pos:R:3 comment="Ag2GeBiO4 | Alexandria | PBE | relaxed" crystal_system=orthorhombic e_form_raw_mev_per_atom=-841.6 density_kg_m3=6922 pbc="T T T"
Ag 4.133 4.923 2.313
O 3.981 7.398 0.000
O 1.762 0.672 0.000
Bi 1.874 6.669 0.000
O 4.035 1.987 1.462
O 1.860 6.185 5.250
O 1.806 0.774 3.788
Bi 4.050 1.503 3.788
O 3.937 7.500 3.788
Ag 1.958 3.249 1.475
O 1.860 6.185 2.326
Ge 4.324 1.013 0.000
O 4.035 1.987 6.114
Ag 4.133 4.923 5.263
Ge 2.149 7.160 3.788
Ag 1.958 3.249 6.101

15
Lattice="5.016 -0.128 -0.402 -0.799 6.729 -0.033 -1.046 -3.477 5.499" Properties=species:S:1:pos:R:3 comment="V13H2 | Alexandria | PBE | relaxed" crystal_system=triclinic total_energy_ev_per_cell=-126.0 density_kg_m3=6110 pbc="T T T"
V 2.353 0.954 0.612
H 2.854 3.847 3.486
V -0.528 4.042 3.265
V 3.278 3.766 0.087
V 3.486 1.091 3.427
V -0.106 -0.643 4.977
V 3.700 -0.919 1.799
V 1.143 0.202 2.854
V -0.314 2.033 1.637
V 2.482 -1.654 3.968
V 0.818 2.170 4.452
V 2.029 2.921 2.210
V 0.000 0.000 0.000
V 0.690 4.777 1.096
H 0.317 -0.723 1.578

7
Lattice="-0.545 -2.738 -2.180 2.353 -2.645 -0.145 -6.462 -8.646 9.599" Properties=species:S:1:pos:R:3 comment="Er4CdC2 | Alexandria | PBE | relaxed" formation_enthalpy_0k_mev_per_atom=-317.5 crystal_system=trigonal density_kg_m3=8607 pbc="T T T"
Er -0.851 -7.961 1.579
C -0.809 -5.541 1.407
Er -3.803 -6.068 5.695
Cd 0.000 0.000 0.000
Er -3.922 -10.939 6.088
C -3.846 -8.487 5.867
Er -0.733 -3.090 1.186

10
Lattice="7.696 0.000 0.000 -3.848 5.150 3.711 0.000 1.036 8.151" Properties=species:S:1:pos:R:3 comment="AgHg3Cl | Alexandria | PBE | relaxed" de_polymorph_mev_per_atom=0 crystal_system=monoclinic e_form_raw_mev_per_atom=-172.9 density_kg_m3=8431 pbc="T T T"
Ag 1.681 2.576 1.856
Ag 5.529 3.611 10.006
Cl 3.604 3.587 8.398
Hg 3.604 2.182 4.168
Hg -0.244 4.004 7.694
Hg 1.905 4.755 5.396
Hg 5.753 1.431 6.465
Hg 1.456 1.431 6.466
Hg -2.392 4.755 5.396
Cl -0.244 2.600 3.463

26
Lattice="7.179 0.000 3.021 3.083 6.747 2.715 -1.553 0.762 13.731" Properties=species:S:1:pos:R:3 comment="LiIn3Hg9 | Alexandria | PBE | relaxed" formation_enthalpy_0k_mev_per_atom=-28.6 crystal_system=monoclinic density_kg_m3=10396 pbc="T T T"
Hg 4.667 3.557 12.024
In 6.326 5.565 8.056
In 5.587 1.061 4.743
In 1.857 2.572 12.659
Li 1.803 2.321 1.544
Hg 4.352 3.718 3.271
Li 5.579 6.076 11.034
In 7.825 4.816 13.585
Hg 7.463 3.823 10.593
Hg 8.535 6.926 10.662
Hg 2.249 1.494 6.438
Hg -0.752 0.830 13.619
Hg 1.768 5.249 14.136
Hg 7.102 7.133 15.586
Hg 4.662 3.379 6.658
In 2.215 4.692 5.172
Hg -0.521 0.725 7.704
Hg 7.590 4.762 5.000
Hg 3.529 4.767 9.226
Hg 3.158 1.769 9.618
Hg 4.815 6.549 5.603
Hg 4.724 6.089 13.802
Hg 5.628 3.933 15.922
In -0.386 1.699 10.561
Hg 7.600 2.334 7.111
Hg 2.976 1.774 15.477

12
Lattice="-0.094 -3.181 -4.013 7.099 0.806 -0.805 -2.255 -4.966 7.259" Properties=species:S:1:pos:R:3 comment="Pm3Zn2Co | Alexandria | PBE | relaxed" formation_enthalpy_0k_mev_per_atom=-140.7 de_polymorph_mev_per_atom=87 crystal_system=orthorhombic density_kg_m3=7102 pbc="T T T"
Zn 5.774 -3.434 -0.681
Pm 0.851 -6.029 1.492
Zn -1.024 -3.907 3.122
Zn 2.526 -3.504 2.719
Pm 3.899 -1.312 0.949
Pm 4.401 -5.626 1.089
Pm 1.728 -1.389 -2.208
Zn 2.224 -3.837 -0.278
Pm 0.350 -1.715 1.352
Co 5.324 0.605 -0.604
Pm 5.277 -0.986 -2.610
Co 1.681 -2.980 -4.214

6
Lattice="-3.564 4.257 -3.030 -1.396 -6.330 -0.729 -0.981 0.697 6.625" Properties=species:S:1:pos:R:3 comment="ZnBrCl | Alexandria | PBE | relaxed" de_polymorph_mev_per_atom=30 crystal_system=triclinic e_form_raw_mev_per_atom=-983.6 density_kg_m3=2834 pbc="T T T"
Zn -3.230 -3.415 0.174
Zn -4.410 0.240 -0.961
Cl -3.153 -4.075 2.406
Br -0.990 -4.261 -0.378
Cl -3.020 -1.064 0.250
Br -3.782 2.583 -0.444

9
Lattice="-1.827 -3.875 -0.052 3.043 0.884 3.670 -7.148 3.334 2.789" Properties=species:S:1:pos:R:3 comment="Li2GaAg6 | Alexandria | PBE | relaxed" formation_enthalpy_0k_mev_per_atom=-139.8 de_polymorph_mev_per_atom=6 crystal_system=monoclinic density_kg_m3=8009 pbc="T T T"
Li -5.379 0.124 3.269
Ag -2.853 1.290 4.154
Ga -3.574 1.667 1.395
Ag -0.043 -2.403 4.087
Ag -3.079 -0.946 2.253
Li -0.553 0.219 3.138
Ag -5.327 2.444 5.077
Ag -0.605 -2.101 1.330
Ag -5.889 2.746 2.319

5
Lattice="5.164 0.000 0.000 0.000 3.793 0.000 0.000 0.000 5.164" Properties=species:S:1:pos:R:3 comment="ScCu2SnO | Alexandria | PBE | relaxed" crystal_system=tetragonal e_form_raw_mev_per_atom=-264.9 density_kg_m3=5036 pbc="T T T"
Cu 0.000 0.000 2.582
Sn 2.582 1.896 2.582
Sc 0.000 0.000 0.000
O 0.000 1.896 0.000
Cu 2.582 0.000 0.000

10
Lattice="3.233 0.000 0.000 0.000 3.233 0.000 0.000 0.000 21.354" Properties=species:S:1:pos:R:3 comment="Ce5Ga4Cu | Alexandria | PBE | relaxed" formation_enthalpy_0k_mev_per_atom=-402.5 crystal_system=tetragonal density_kg_m3=7760 pbc="T T T"
Ce 1.616 1.616 6.351
Ce 1.616 1.616 10.677
Ce 1.616 1.616 2.019
Cu 0.000 0.000 0.000
Ga 0.000 0.000 17.181
Ga 0.000 0.000 4.173
Ga 0.000 0.000 8.511
Ce 1.616 1.616 15.003
Ga 0.000 0.000 12.844
Ce 1.616 1.616 19.335

8
Lattice="3.890 0.000 -1.459 -0.547 3.852 -1.457 0.717 0.829 7.827" Properties=species:S:1:pos:R:3 comment="PaCu2Pd5 | Alexandria | PBE | relaxed" formation_enthalpy_0k_mev_per_atom=-488.3 crystal_system=tetragonal density_kg_m3=11670 pbc="T T T"
Pd 1.469 3.936 3.916
Cu 1.208 1.396 3.220
Pa 0.000 0.000 0.000
Pd 1.672 1.926 -1.458
Cu 2.853 3.284 1.691
Pd 0.373 2.673 0.995
Pd 2.592 0.745 0.995
Pd 3.687 2.008 3.917

6
Lattice="-3.107 -0.906 -1.598 -0.883 -2.017 2.860 -4.882 8.646 4.591" Properties=species:S:1:pos:R:3 comment="Dy3Ag2Au | Alexandria | PBE | relaxed" formation_enthalpy_0k_mev_per_atom=-508.3 de_polymorph_mev_per_atom=3 crystal_system=tetragonal density_kg_m3=10490 pbc="T T T"
Dy 0.000 0.000 0.000
Dy -1.649 2.920 1.550
Dy -3.234 5.727 3.040
Au -4.436 2.862 2.926
Ag -2.806 -0.025 1.394
Ag -6.066 5.749 4.459

5
Lattice="3.806 0.000 0.000 0.000 4.858 0.000 0.000 0.000 3.806" Properties=species:S:1:pos:R:3 comment="KReNi2C | Alexandria | PBE | relaxed" formation_enthalpy_0k_mev_per_atom=1745.2 crystal_system=tetragonal density_kg_m3=8372 pbc="T T T"
C 0.000 0.000 0.000
K 0.000 2.429 0.000
Ni 1.903 0.000 0.000
Ni 0.000 0.000 1.903
Re 1.903 2.429 1.903

11
Lattice="5.014 0.000 0.000 0.000 9.135 0.000 0.000 -4.567 7.911" Properties=species:S:1:pos:R:3 comment="Ba2Bi6Au3 | Alexandria | PBE | relaxed" formation_enthalpy_0k_mev_per_atom=-352.8 crystal_system=hexagonal density_kg_m3=9713 pbc="T T T"
Bi 0.000 -3.618 6.267
Au 2.507 5.623 0.000
Bi 2.507 -1.397 2.420
Au 2.507 -2.812 4.870
Bi 0.000 7.237 0.000
Bi 2.507 2.795 0.000
Au 2.507 1.756 3.041
Bi 2.507 3.170 5.491
Bi 0.000 0.949 1.644
Ba 0.000 0.000 5.274
Ba 0.000 4.567 2.637